Dy6Tm2S3 | PBE-GGA | optimized geometry

Computed properties:
ΔE_f (raw) = -1.033 eV per atom
total magnetization = 0.00 μB/cell
total energy = -60.30 eV for the cell shown

Lattice parameters (Å, degrees): 24.3910 24.3910 24.3910 8.77 8.77 8.77
Atoms (fractional coordinates):
Dy  0.0695  0.0695  0.0695
Dy  0.1858  0.1858  0.1858
Dy  0.3571  0.3571  0.3571
Dy  0.6429  0.6429  0.6429
Dy  0.8142  0.8142  0.8142
Dy  0.9305  0.9305  0.9305
Tm  0.4422  0.4422  0.4422
Tm  0.5578  0.5578  0.5578
S  0.0000  0.0000  0.0000
S  0.2871  0.2871  0.2871
S  0.7129  0.7129  0.7129